(1)
Below is a relaxed Sr3MnBr6Cl2 crystal, with properties calculated at the GGA-PBE level.

Geometry as extended XYZ:
```
12
Lattice="7.3711 -4.3240 0.0000 7.3711 4.3240 0.0000 -0.3717 0.0000 6.5689" Properties=species:S:1:pos:R:3 pbc="T T T"
Sr 0.0000 0.0000 0.0000
Sr 3.4997 2.1620 3.2844
Sr 3.4997 -2.1620 3.2844
Mn 7.1853 0.0000 3.2844
Br 6.1106 2.0015 1.6922
Br 8.2599 2.0015 4.8767
Br 4.9946 0.0000 4.8173
Br 9.3759 0.0000 1.7516
Br 6.1106 -2.0015 1.6922
Br 8.2599 -2.0015 4.8767
Cl 2.3825 0.0000 1.6885
Cl 11.9880 0.0000 4.8804
```

Computed properties:
- N(E_F) (states/eV/atom) = 0.000
- raw formation energy (eV per atom) = -1.839
- calculated volume (Å³ per cell) = 418.73
- space group = C2/m

***

(2)
Below is a relaxed La4NiTe crystal, with properties calculated at the GGA-PBE level.

Geometry as extended XYZ:
```
12
Lattice="6.4029 0.0000 0.0000 0.0000 6.9551 0.0000 -3.0525 0.0000 8.4197" Properties=species:S:1:pos:R:3 pbc="T T T"
La -0.5020 0.0042 1.7736
La -0.5020 3.4733 1.7736
La 0.6286 1.7388 5.2001
La 2.6084 1.7388 0.6303
La 0.7420 5.2163 7.7895
La 2.7218 5.2163 3.2196
La 3.8524 3.4818 6.6461
La 3.8524 6.9509 6.6461
Ni 1.2778 5.2163 0.5098
Ni 2.0726 1.7388 7.9099
Te -0.3197 5.2163 4.6426
Te 3.6701 1.7388 3.7771
```

Computed properties:
- excess energy over the best structure of this formula in the dataset (eV/atom) = 0.000
- N(E_F) (states/eV/atom) = 1.189
- raw formation energy (eV per atom) = -0.575
- calculated volume (Å³ per cell) = 374.95
- space group = P2_1/m

***

(3)
Below is a relaxed LiZrRe2 crystal, with properties calculated at the GGA-PBE level.

Geometry as extended XYZ:
```
4
Lattice="2.6959 -4.6639 0.0000 2.6959 4.6639 0.0000 -0.9229 0.0000 2.5441" Properties=species:S:1:pos:R:3 pbc="T T T"
Li 0.0000 0.0000 0.0000
Zr 2.6959 0.0000 0.0000
Re 0.8865 2.3319 1.2720
Re 0.8865 -2.3319 1.2720
```

Computed properties:
- excess energy over the best structure of this formula in the dataset (eV/atom) = 0.091
- N(E_F) (states/eV/atom) = 0.621
- E_form (eV/atom) = 0.171
- calculated volume (Å³ per cell) = 63.97
- space group = C2/m

***

(4)
Below is a relaxed Mn2TcGe crystal, with properties calculated at the GGA-PBE level.

Geometry as extended XYZ:
```
4
Lattice="2.0064 1.1584 4.1478 -2.0064 1.1584 4.1478 0.0000 -2.3168 4.1478" Properties=species:S:1:pos:R:3 pbc="T T T"
Mn 0.0000 0.0000 0.0000
Mn 0.0000 0.0000 2.2813
Tc 0.0000 0.0000 4.9724
Ge 0.0000 0.0000 7.5460
```

Computed properties:
- N(E_F) (states/eV/atom) = 0.833
- E_form (eV/atom) = 0.092
- calculated volume (Å³ per cell) = 57.84
- space group = R3m

***

(5)
Below is a relaxed Hf2Mn2Ir crystal, with properties calculated at the GGA-PBE level.

Geometry as extended XYZ:
```
5
Lattice="-2.0311 2.0311 5.2660 2.0311 -2.0311 5.2660 2.0311 2.0311 -5.2660" Properties=species:S:1:pos:R:3 pbc="T T T"
Hf 2.0311 0.0000 2.6330
Hf 0.0000 2.0311 2.6330
Mn 0.0000 0.0000 0.9799
Mn 0.0000 0.0000 9.5521
Ir 0.0000 0.0000 5.2660
```

Computed properties:
- excess energy over the best structure of this formula in the dataset (eV/atom) = 0.949
- N(E_F) (states/eV/atom) = 1.099
- E_form (eV/atom) = 0.628
- calculated volume (Å³ per cell) = 86.90
- space group = I4/mmm

***

(6)
Below is a relaxed BaSr2TlS crystal, with properties calculated at the GGA-PBE level.

Geometry as extended XYZ:
```
5
Lattice="5.7475 0.0000 0.0000 0.0000 5.7475 0.0000 0.0000 0.0000 6.1590" Properties=species:S:1:pos:R:3 pbc="T T T"
Ba 0.0000 0.0000 0.0000
Sr 0.0000 2.8738 3.0795
Sr 2.8738 0.0000 3.0795
Tl 2.8738 2.8738 0.0000
S 0.0000 0.0000 3.0795
```

Computed properties:
- N(E_F) (states/eV/atom) = 1.233
- raw formation energy (eV per atom) = -0.889
- calculated volume (Å³ per cell) = 203.46
- space group = P4/mmm

***

(7)
Below is a relaxed RbBiTe3 crystal, with properties calculated at the GGA-PBE level.

Geometry as extended XYZ:
```
5
Lattice="6.1653 0.0000 0.0000 0.0000 6.1653 0.0000 0.0000 0.0000 6.1653" Properties=species:S:1:pos:R:3 pbc="T T T"
Rb 0.0000 0.0000 0.0000
Bi 3.0827 3.0827 3.0827
Te 0.0000 0.0000 3.0827
Te 0.0000 3.0827 0.0000
Te 3.0827 0.0000 0.0000
```

Computed properties:
- excess energy over the best structure of this formula in the dataset (eV/atom) = 1.384
- N(E_F) (states/eV/atom) = 1.763
- raw formation energy (eV per atom) = 1.024
- calculated volume (Å³ per cell) = 234.35
- space group = Pm-3m

***

(8)
Below is a relaxed Mn2HgPd crystal, with properties calculated at the GGA-PBE level.

Geometry as extended XYZ:
```
8
Lattice="-3.6546 3.6546 2.7444 3.6546 -3.6546 2.7444 3.6546 3.6546 -2.7444" Properties=species:S:1:pos:R:3 pbc="T T T"
Mn 5.4819 1.6699 -0.6861
Mn 1.6699 1.8273 0.6861
Mn -1.8273 1.9847 2.0583
Mn 1.9847 1.8273 3.4305
Hg 3.6546 0.0000 1.3722
Hg 0.0000 0.0000 2.7444
Pd 0.0000 0.0000 0.0000
Pd 0.0000 3.6546 1.3722
```

Computed properties:
- N(E_F) (states/eV/atom) = 0.909
- E_form (eV/atom) = 0.391
- calculated volume (Å³ per cell) = 146.62
- space group = I-42d

***

(9)
Below is a relaxed Pm7DyAl4 crystal, with properties calculated at the GGA-PBE level.

Geometry as extended XYZ:
```
12
Lattice="7.0407 -2.8108 0.0000 7.0407 2.8108 0.0000 -6.0136 0.0000 8.7958" Properties=species:S:1:pos:R:3 pbc="T T T"
Pm 0.0000 0.0000 0.0000
Pm -1.0067 0.0000 5.6978
Pm 3.4045 0.0000 1.0583
Pm 2.4329 0.0000 5.3932
Pm 5.6350 0.0000 3.4026
Pm 4.6634 0.0000 7.7375
Pm 9.0746 0.0000 3.0980
Dy 7.0407 0.0000 0.0000
Al -3.8341 0.0000 6.6860
Al 0.4689 0.0000 2.9148
Al 7.5990 0.0000 5.8810
Al 11.9020 0.0000 2.1099
```

Computed properties:
- N(E_F) (states/eV/atom) = 1.102
- E_form (eV/atom) = -0.067
- calculated volume (Å³ per cell) = 348.14
- space group = C2/m

***

(10)
Below is a relaxed CsCu2SbS4 crystal, with properties calculated at the GGA-PBE level.

Geometry as extended XYZ:
```
8
Lattice="-3.1084 4.2499 4.6360 3.1084 -4.2499 4.6360 3.1084 4.2499 -4.6360" Properties=species:S:1:pos:R:3 pbc="T T T"
Cs 0.0000 0.0000 0.0000
Cu 3.1084 0.0000 3.2930
Cu 0.0000 4.2499 1.3431
Sb 0.0000 0.0000 4.6360
S 1.7049 2.9255 -1.4305
S 1.4035 -1.3244 6.0665
S 1.4035 1.3244 3.2055
S 1.7049 5.5742 1.4305
```

Computed properties:
- raw formation energy (eV per atom) = -0.415
- calculated volume (Å³ per cell) = 244.97
- space group = I222

***

(11)
Below is a relaxed UMnZn crystal, with properties calculated at the GGA-PBE level.

Geometry as extended XYZ:
```
6
Lattice="5.1488 -2.2752 0.0000 5.1488 2.2752 0.0000 -1.2139 0.0000 4.3251" Properties=species:S:1:pos:R:3 pbc="T T T"
U 0.8779 0.0000 1.4295
U 8.2059 0.0000 2.8956
Mn 0.9628 0.0000 3.5669
Mn 8.1210 0.0000 0.7582
Zn 4.1185 0.0000 0.8760
Zn 4.9653 0.0000 3.4491
```

Computed properties:
- excess energy over the best structure of this formula in the dataset (eV/atom) = 0.000
- N(E_F) (states/eV/atom) = 1.242
- E_form (eV/atom) = -0.075
- calculated volume (Å³ per cell) = 101.33
- space group = C2/m

***

(12)
Below is a relaxed HfVTe2 crystal, with properties calculated at the GGA-PBE level.

Geometry as extended XYZ:
```
4
Lattice="1.8903 1.0914 9.2085 -1.8903 1.0914 9.2085 0.0000 -2.1828 9.2085" Properties=species:S:1:pos:R:3 pbc="T T T"
Hf 0.0000 0.0000 0.0000
V 0.0000 0.0000 13.8128
Te 0.0000 0.0000 11.0728
Te 0.0000 0.0000 16.5528
```

Computed properties:
- excess energy over the best structure of this formula in the dataset (eV/atom) = 0.469
- N(E_F) (states/eV/atom) = 0.825
- raw formation energy (eV per atom) = 0.030
- calculated volume (Å³ per cell) = 113.99
- space group = R-3m

***

(13)
Below is a relaxed CsMn2Bi2 crystal, with properties calculated at the GGA-PBE level.

Geometry as extended XYZ:
```
5
Lattice="-2.3190 2.3190 7.8323 2.3190 -2.3190 7.8323 2.3190 2.3190 -7.8323" Properties=species:S:1:pos:R:3 pbc="T T T"
Cs 0.0000 0.0000 0.0000
Mn 2.3190 0.0000 3.9162
Mn 0.0000 2.3190 3.9162
Bi 0.0000 0.0000 5.5344
Bi 0.0000 0.0000 10.1302
```

Computed properties:
- N(E_F) (states/eV/atom) = 0.788
- E_form (eV/atom) = 0.115
- calculated volume (Å³ per cell) = 168.48
- space group = I4/mmm

***

(14)
Below is a relaxed VTcGe2 crystal, with properties calculated at the GGA-PBE level.

Geometry as extended XYZ:
```
4
Lattice="0.0000 3.0803 3.0803 3.0803 0.0000 3.0803 3.0803 3.0803 0.0000" Properties=species:S:1:pos:R:3 pbc="T T T"
V 0.0000 0.0000 0.0000
Tc 3.0803 3.0803 3.0803
Ge 1.5402 1.5402 1.5402
Ge 4.6205 4.6205 4.6205
```

Computed properties:
- excess energy over the best structure of this formula in the dataset (eV/atom) = 0.000
- N(E_F) (states/eV/atom) = 1.001
- E_form (eV/atom) = -0.063
- calculated volume (Å³ per cell) = 58.45
- space group = Fm-3m

***

(15)
Below is a relaxed Ho2Tm12Sc crystal, with properties calculated at the GGA-PBE level.

Geometry as extended XYZ:
```
15
Lattice="3.5113 0.0000 0.0000 0.0000 5.3769 0.0000 -0.3483 0.0000 24.1351" Properties=species:S:1:pos:R:3 pbc="T T T"
Ho 0.6897 0.0000 6.6972
Ho 2.4733 0.0000 17.4380
Tm 0.7034 0.0000 3.0921
Tm 0.4615 2.6885 22.6510
Tm 0.7021 2.6885 10.7559
Tm 0.7059 0.0000 13.9050
Tm 0.7151 2.6885 16.1223
Tm 0.7142 2.6885 19.3222
Tm 2.4488 2.6885 4.8129
Tm 2.4479 2.6885 8.0128
Tm 2.4571 0.0000 10.2301
Tm 2.4609 2.6885 13.3793
Tm 2.7015 2.6885 1.4841
Tm 2.4596 0.0000 21.0430
Sc 1.7556 0.0000 0.0000
```

Computed properties:
- N(E_F) (states/eV/atom) = 1.707
- E_form (eV/atom) = 0.136
- calculated volume (Å³ per cell) = 455.67
- space group = P2/m

***

(16)
Below is a relaxed Tl2PbO2 crystal, with properties calculated at the GGA-PBE level.

Geometry as extended XYZ:
```
10
Lattice="5.2277 -4.2047 0.0000 5.2277 4.2047 0.0000 -3.8737 0.0000 5.0629" Properties=species:S:1:pos:R:3 pbc="T T T"
Tl 0.0000 0.0000 0.0000
Tl -1.9368 0.0000 2.5315
Tl 2.6139 2.1023 0.0000
Tl 0.6770 -2.1023 2.5315
Pb 2.3225 0.9541 3.7972
Pb 4.2593 -0.9541 1.2657
O 2.1723 0.0036 1.6701
O 0.2355 -0.0036 4.2016
O 6.3463 0.0036 0.8613
O 4.4095 -0.0036 3.3928
```

Computed properties:
- N(E_F) (states/eV/atom) = 0.344
- raw formation energy (eV per atom) = -0.562
- calculated volume (Å³ per cell) = 222.58
- space group = C2/c

***

(17)
Below is a relaxed MnBeGe3 crystal, with properties calculated at the GGA-PBE level.

Geometry as extended XYZ:
```
5
Lattice="4.4940 0.0000 0.0000 0.0000 4.4940 0.0000 0.0000 0.0000 4.4940" Properties=species:S:1:pos:R:3 pbc="T T T"
Mn 0.0000 0.0000 0.0000
Be 2.2470 2.2470 2.2470
Ge 0.0000 2.2470 2.2470
Ge 2.2470 0.0000 2.2470
Ge 2.2470 2.2470 0.0000
```

Computed properties:
- excess energy over the best structure of this formula in the dataset (eV/atom) = 0.011
- N(E_F) (states/eV/atom) = 0.565
- E_form (eV/atom) = 0.628
- calculated volume (Å³ per cell) = 90.76
- space group = Pm-3m

***

(18)
Below is a relaxed TbSmTm2S6 crystal, with properties calculated at the GGA-PBE level.

Geometry as extended XYZ:
```
10
Lattice="3.4579 1.9964 6.1469 -3.4579 1.9964 6.1469 0.0000 -3.9929 6.1469" Properties=species:S:1:pos:R:3 pbc="T T T"
Tb 0.0000 0.0000 0.0000
Sm 0.0000 0.0000 9.2722
Tm 0.0000 0.0000 5.5336
Tm 0.0000 0.0000 14.7234
S -1.1036 -1.7752 7.3114
S -2.5291 -0.1577 10.3905
S -0.9856 1.8433 7.3114
S 1.4011 -2.1114 10.3905
S 2.0892 -0.0681 7.3114
S 1.1280 2.2691 10.3905
```

Computed properties:
- N(E_F) (states/eV/atom) = 0.000
- raw formation energy (eV per atom) = -2.053
- calculated volume (Å³ per cell) = 254.62
- space group = R3

***

(19)
Below is a relaxed Sr6Rh2Au crystal, with properties calculated at the GGA-PBE level.

Geometry as extended XYZ:
```
9
Lattice="7.4579 0.0000 0.0000 -3.7290 6.4587 0.0000 0.0000 0.0000 7.1745" Properties=species:S:1:pos:R:3 pbc="T T T"
Sr -1.2835 2.2231 1.6679
Sr -2.4455 4.2357 5.5066
Sr 2.5670 0.0000 1.6679
Sr 1.2835 2.2231 5.5066
Sr 4.8909 0.0000 5.5066
Sr 2.4455 4.2357 1.6679
Rh 0.0000 4.3058 0.0000
Rh 3.7290 2.1529 0.0000
Au 0.0000 0.0000 3.5873
```

Computed properties:
- N(E_F) (states/eV/atom) = 0.668
- E_form (eV/atom) = -0.307
- calculated volume (Å³ per cell) = 345.59
- space group = P-31m

***

(20)
Below is a relaxed BaCuAs2 crystal, with properties calculated at the GGA-PBE level.

Geometry as extended XYZ:
```
4
Lattice="2.2555 1.3022 5.6821 -2.2555 1.3022 5.6821 0.0000 -2.6044 5.6821" Properties=species:S:1:pos:R:3 pbc="T T T"
Ba 0.0000 0.0000 0.0000
Cu 0.0000 0.0000 8.5231
As 0.0000 0.0000 3.3733
As 0.0000 0.0000 13.6729
```

Computed properties:
- N(E_F) (states/eV/atom) = 0.530
- E_form (eV/atom) = -0.380
- calculated volume (Å³ per cell) = 100.13
- space group = R-3m

***

(21)
Below is a relaxed TeMo2Cl crystal, with properties calculated at the GGA-PBE level.

Geometry as extended XYZ:
```
4
Lattice="4.3295 -1.6291 0.0000 4.3295 1.6291 0.0000 -1.5276 0.0000 5.5749" Properties=species:S:1:pos:R:3 pbc="T T T"
Te 0.0000 0.0000 0.0000
Mo 1.1906 0.0000 3.7234
Mo 5.9408 0.0000 1.8515
Cl 3.5657 0.0000 2.7874
```

Computed properties:
- excess energy over the best structure of this formula in the dataset (eV/atom) = 0.587
- N(E_F) (states/eV/atom) = 0.523
- raw formation energy (eV per atom) = 0.496
- calculated volume (Å³ per cell) = 78.64
- space group = C2/m

***

(22)
Below is a relaxed Mn2In2Au crystal, with properties calculated at the GGA-PBE level.

Geometry as extended XYZ:
```
5
Lattice="-1.9791 1.9791 6.6839 1.9791 -1.9791 6.6839 1.9791 1.9791 -6.6839" Properties=species:S:1:pos:R:3 pbc="T T T"
Mn 0.0000 0.0000 1.2468
Mn 0.0000 0.0000 12.1210
In 1.9791 0.0000 3.3420
In 0.0000 1.9791 3.3420
Au 0.0000 0.0000 6.6839
```

Computed properties:
- excess energy over the best structure of this formula in the dataset (eV/atom) = 0.323
- N(E_F) (states/eV/atom) = 0.985
- E_form (eV/atom) = 0.531
- calculated volume (Å³ per cell) = 104.72
- space group = I4/mmm